Here is a relaxed structure of FeSF from Alexandria. Energies are from PBE+U.

Lattice parameters (Å, degrees): 3.6430 7.4013 7.4013 90.00 90.00 90.00
Atoms (fractional coordinates):
F (0.5000, 0.3160, 0.4115)
Fe (0.0000, 0.6918, 0.7374)
Fe (0.5000, 0.2626, 0.6918)
Fe (0.0000, 0.3082, 0.2626)
F (0.5000, 0.6840, 0.5885)
S (0.5000, 0.6432, 0.9810)
F (0.0000, 0.4115, 0.6840)
F (0.0000, 0.5885, 0.3160)
Fe (0.5000, 0.7374, 0.3082)
S (0.0000, 0.9810, 0.3568)
S (0.5000, 0.3568, 0.0190)
S (0.0000, 0.0190, 0.6432)

Results
* mass density: 3.6 g/cm3
* final energy: -5.1636 eV per atom
* M_tot: 1.3333 μB per atom